A relaxed structure of SrHg2W, computed with GGA-PBE.

Unit cell a=3.1179 b=3.1179 c=9.1442 alpha=90.00 beta=90.00 gamma=90.00
Space group P4/mmm (No. 123)
Asymmetric unit:
1 Sr 0.0000 0.0000 0.0000 x1
2 Hg 0.5000 0.5000 0.2756 x2
3 W 0.0000 0.0000 0.5000 x1

Calculated values
The calculation puts the energy at -13.0 eV/cell. Its magnetization is 0.0 μB/f.u. Its formation energy is 0.56 eV per atom.